Entry from Alexandria: a relaxed Pu8Ir5Pd crystal (PBE).

Output
* formation enthalpy at 0 K: -0.44 eV/atom
* V: 311 Å³/f.u.
* magnetization: 2.904 μB/atom

Unit cell a=7.3918 b=7.3918 c=7.3918 alpha=109.27 beta=109.27 gamma=109.87
Sites, in units of the cell vectors:
Pu 0.1162 0.3748 0.6022
Pu 0.1176 0.3732 0.1098
Pu 0.2634 0.0078 0.8902
Pu 0.4859 0.8838 0.2585
Pu 0.6252 0.2274 0.7415
Pu 0.6268 0.7366 0.7443
Pu 0.7726 0.5141 0.3978
Pu 0.9922 0.8824 0.2557
Ir 0.2500 0.7500 0.5000
Ir 0.3778 0.2590 0.3763
Ir 0.7410 0.1173 0.1188
Ir 0.8827 0.0015 0.6237
Ir 0.9985 0.6222 0.8812
Pd 0.5000 0.5000 0.0000